(1)
A relaxed PrGdAlRh crystal, computed with PBE.

Properties
Raw total energy in eV/cell: -31.7
Volume in Å³/cell: 94.8
ΔH_f (0 K) in meV per atom: -437
SG: F-43m (216)

CIF file:
```
data_PrGdAlRh
_chemical_formula_sum 'Pr1 Gd1 Al1 Rh1'
_symmetry_space_group_name_H-M 'P 1'
_symmetry_Int_Tables_number 1
_symmetry_space_group_name_Hall 'P 1'
_cell_length_a 5.118
_cell_length_b 5.118
_cell_length_c 5.118
_cell_angle_alpha 60.00
_cell_angle_beta 60.00
_cell_angle_gamma 60.00
loop_
_atom_site_label
_atom_site_type_symbol
_atom_site_fract_x
_atom_site_fract_y
_atom_site_fract_z
_atom_site_occupancy
Pr1 Pr 0.000 0.000 0.000 1
Gd1 Gd 0.500 0.500 0.500 1
Al1 Al 0.250 0.250 0.250 1
Rh1 Rh 0.750 0.750 0.750 1
```

(2)
A relaxed PrGdScAl crystal, computed with PBE.

Properties
Raw total energy in eV/cell: -29.4
Volume in Å³/cell: 107.0
ΔH_f (0 K) in meV per atom: -105
SG: F-43m (216)

CIF file:
```
data_PrGdScAl
_chemical_formula_sum 'Pr1 Gd1 Sc1 Al1'
_symmetry_space_group_name_H-M 'P 1'
_symmetry_Int_Tables_number 1
_symmetry_space_group_name_Hall 'P 1'
_cell_length_a 5.329
_cell_length_b 5.329
_cell_length_c 5.329
_cell_angle_alpha 60.00
_cell_angle_beta 60.00
_cell_angle_gamma 60.00
loop_
_atom_site_label
_atom_site_type_symbol
_atom_site_fract_x
_atom_site_fract_y
_atom_site_fract_z
_atom_site_occupancy
Pr1 Pr 0.000 0.000 0.000 1
Gd1 Gd 0.500 0.500 0.500 1
Sc1 Sc 0.250 0.250 0.250 1
Al1 Al 0.750 0.750 0.750 1
```

(3)
A relaxed PrSmGdAl crystal, computed with PBE.

Properties
Raw total energy in eV/cell: -27.6
Volume in Å³/cell: 115.4
ΔH_f (0 K) in meV per atom: -70
SG: F-43m (216)

CIF file:
```
data_PrSmGdAl
_chemical_formula_sum 'Pr1 Sm1 Gd1 Al1'
_symmetry_space_group_name_H-M 'P 1'
_symmetry_Int_Tables_number 1
_symmetry_space_group_name_Hall 'P 1'
_cell_length_a 5.464
_cell_length_b 5.464
_cell_length_c 5.464
_cell_angle_alpha 60.00
_cell_angle_beta 60.00
_cell_angle_gamma 60.00
loop_
_atom_site_label
_atom_site_type_symbol
_atom_site_fract_x
_atom_site_fract_y
_atom_site_fract_z
_atom_site_occupancy
Pr1 Pr 0.000 0.000 0.000 1
Sm1 Sm 0.500 0.500 0.500 1
Gd1 Gd 0.750 0.750 0.750 1
Al1 Al 0.250 0.250 0.250 1
```

Which formula does entry 1 have?
PrGdAlRh